DFT (PBE with a Hubbard U) results for a relaxed Er3Mn5O12 crystal.

Calculated values
final energy: -7.8079 eV per atom
Fermi-level density of states: 24.61 states/eV per cell
total magnetic moment: 20.0 μB/f.u.

a b c (Å): 10.8222 10.8222 10.8222
angles (deg): 109.47 109.47 109.47
Closest atoms and distances in Å follow each position.
Fractional coordinates of all 80 atoms:
Er 0.1250 0.2500 0.3750  8 O 2.34-2.46
Er 0.1250 0.3750 0.7500  8 O 2.34-2.46
Er 0.2500 0.3750 0.1250  8 O 2.34-2.46
Er 0.2500 0.8750 0.6250  8 O 2.34-2.46
Er 0.3750 0.1250 0.2500  8 O 2.34-2.46
Er 0.3750 0.7500 0.1250  8 O 2.34-2.46
Er 0.6250 0.2500 0.8750  8 O 2.34-2.46
Er 0.6250 0.8750 0.7500  8 O 2.34-2.46
Er 0.7500 0.1250 0.3750  8 O 2.34-2.46
Er 0.7500 0.6250 0.8750  8 O 2.34-2.46
Er 0.8750 0.6250 0.2500  8 O 2.34-2.46
Er 0.8750 0.7500 0.6250  8 O 2.34-2.46
Mn 0.0000 0.0000 0.0000  6 O 2.00
Mn 0.0000 0.0000 0.5000  6 O 2.00
Mn 0.0000 0.5000 0.0000  6 O 2.00
Mn 0.0000 0.5000 0.5000  6 O 2.00
Mn 0.1250 0.7500 0.8750  4 O 1.94
Mn 0.1250 0.8750 0.2500  4 O 1.94
Mn 0.2500 0.1250 0.8750  4 O 1.94
Mn 0.2500 0.6250 0.3750  4 O 1.94
Mn 0.3750 0.2500 0.6250  4 O 1.94
Mn 0.3750 0.6250 0.7500  4 O 1.94
Mn 0.5000 0.0000 0.0000  6 O 2.00
Mn 0.5000 0.0000 0.5000  6 O 2.00
Mn 0.5000 0.5000 0.0000  6 O 2.00
Mn 0.5000 0.5000 0.5000  6 O 2.00
Mn 0.6250 0.3750 0.2500  4 O 1.94
Mn 0.6250 0.7500 0.3750  4 O 1.94
Mn 0.7500 0.3750 0.6250  4 O 1.94
Mn 0.7500 0.8750 0.1250  4 O 1.94
Mn 0.8750 0.1250 0.7500  4 O 1.94
Mn 0.8750 0.2500 0.1250  4 O 1.94
O 0.0343 0.2045 0.1266  2 Mn 1.94-2.00
O 0.0343 0.3298 0.9077  2 Mn 1.94-2.00
O 0.0778 0.7045 0.6702  2 Mn 1.94-2.00
O 0.0778 0.8734 0.4077  2 Mn 1.94-2.00
O 0.0923 0.6266 0.4222  2 Mn 1.94-2.00
O 0.0923 0.9657 0.6702  2 Mn 1.94-2.00
O 0.1266 0.0343 0.2045  2 Mn 1.94-2.00
O 0.1266 0.5923 0.9222  2 Mn 1.94-2.00
O 0.1702 0.2045 0.5778  2 Mn 1.94-2.00
O 0.1702 0.4657 0.5923  2 Mn 1.94-2.00
O 0.2045 0.1266 0.0343  2 Mn 1.94-2.00
O 0.2045 0.5778 0.1702  2 Mn 1.94-2.00
O 0.2955 0.3298 0.9222  2 Mn 1.94-2.00
O 0.2955 0.4657 0.3734  2 Mn 1.94-2.00
O 0.3298 0.9077 0.0343  2 Mn 1.94-2.00
O 0.3298 0.9222 0.2955  2 Mn 1.94-2.00
O 0.3734 0.2955 0.4657  2 Mn 1.94-2.00
O 0.3734 0.5778 0.9077  2 Mn 1.94-2.00
O 0.4077 0.0778 0.8734  2 Mn 1.94-2.00
O 0.4077 0.8298 0.5343  2 Mn 1.94-2.00
O 0.4222 0.0923 0.6266  2 Mn 1.94-2.00
O 0.4222 0.8298 0.7955  2 Mn 1.94-2.00
O 0.4657 0.3734 0.2955  2 Mn 1.94-2.00
O 0.4657 0.5923 0.1702  2 Mn 1.94-2.00
O 0.5343 0.4077 0.8298  2 Mn 1.94-2.00
O 0.5343 0.6266 0.7045  2 Mn 1.94-2.00
O 0.5778 0.1702 0.2045  2 Mn 1.94-2.00
O 0.5778 0.9077 0.3734  2 Mn 1.94-2.00
O 0.5923 0.1702 0.4657  2 Mn 1.94-2.00
O 0.5923 0.9222 0.1266  2 Mn 1.94-2.00
O 0.6266 0.4222 0.0923  2 Mn 1.94-2.00
O 0.6266 0.7045 0.5343  2 Mn 1.94-2.00
O 0.6702 0.0778 0.7045  2 Mn 1.94-2.00
O 0.6702 0.0923 0.9657  2 Mn 1.94-2.00
O 0.7045 0.5343 0.6266  2 Mn 1.94-2.00
O 0.7045 0.6702 0.0778  2 Mn 1.94-2.00
O 0.7955 0.4222 0.8298  2 Mn 1.94-2.00
O 0.7955 0.8734 0.9657  2 Mn 1.94-2.00
O 0.8298 0.5343 0.4077  2 Mn 1.94-2.00
O 0.8298 0.7955 0.4222  2 Mn 1.94-2.00
O 0.8734 0.4077 0.0778  2 Mn 1.94-2.00
O 0.8734 0.9657 0.7955  2 Mn 1.94-2.00
O 0.9077 0.0343 0.3298  2 Mn 1.94-2.00
O 0.9077 0.3734 0.5778  2 Mn 1.94-2.00
O 0.9222 0.1266 0.5923  2 Mn 1.94-2.00
O 0.9222 0.2955 0.3298  2 Mn 1.94-2.00
O 0.9657 0.6702 0.0923  2 Mn 1.94-2.00
O 0.9657 0.7955 0.8734  2 Mn 1.94-2.00